[1]
Below is a relaxed structure of Fe2IrAu, with properties calculated at the GGA-PBE level.

a = 4.4410 Å, b = 4.4410 Å, c = 2.9342 Å
α = 90.00°, β = 90.00°, γ = 90.00°
Last column: nearest neighbours and their distance in Å.
Space group P4/mmm (No. 123)
Asymmetric unit:
Fe: 0.0000 0.5000 0.0000  4 Au 2.66, 4 Ir 2.66, 2 Fe 2.93
Ir: 0.0000 0.0000 0.5000  8 Fe 2.66, 2 Ir 2.93
Au: 0.5000 0.5000 0.5000  8 Fe 2.66, 2 Au 2.93

Computed properties:
Its energy above the most stable polymorph in this dataset is 108.4 meV/atom. The value obtained for the theoretical density is 14.37 g/cm3. The value obtained for the uncorrected energy is -0.5206 Ry/atom. The calculation puts the energy of formation from the pure elements at 182.5 meV/atom.

[2]
Below is a relaxed structure of FeIr2Au2, with properties calculated at the GGA-PBE level.

a = 3.6788 Å, b = 3.6788 Å, c = 13.0343 Å
α = 90.00°, β = 90.00°, γ = 90.00°
Last column: nearest neighbours and their distance in Å.
Space group I4/mmm (No. 139)
Asymmetric unit:
Fe: 0.0000 0.0000 0.0000  8 Ir 2.86
Ir: 0.0000 0.0000 0.4089  1 Ir 2.37
Au: 0.0000 0.5000 0.2500  4 Au 2.60, 4 Ir 2.77

Computed properties:
Its energy above the most stable polymorph in this dataset is 602.5 meV/atom. The value obtained for the theoretical density is 15.71 g/cm3. The value obtained for the uncorrected energy is -0.4033 Ry/atom. The calculation puts the energy of formation from the pure elements at 1061.4 meV/atom.

[3]
Below is a relaxed structure of FeIrAu, with properties calculated at the GGA-PBE level.

a = 2.8379 Å, b = 4.6921 Å, c = 13.8625 Å
α = 90.00°, β = 90.00°, γ = 90.00°
Last column: nearest neighbours and their distance in Å.
Space group Fmm2 (No. 42)
Asymmetric unit:
Fe: 0.0000 0.0000 0.0000  2 Ir 2.51, 2 Au 2.71, 4 Fe 2.74
Ir: 0.0000 0.0000 0.6495  2 Fe 2.51, 4 Ir 2.74
Au: 0.0000 0.0000 0.3334  2 Fe 2.71, 6 Au 2.74-2.84, 2 Ir 2.92

Computed properties:
Its energy above the most stable polymorph in this dataset is 96.9 meV/atom. The value obtained for the theoretical density is 16.01 g/cm3. The value obtained for the uncorrected energy is -0.4867 Ry/atom. The calculation puts the energy of formation from the pure elements at 244.4 meV/atom.

[4]
Below is a relaxed structure of FeIr2Au2, with properties calculated at the GGA-PBE level.

a = 3.5688 Å, b = 3.5688 Å, c = 14.0644 Å
α = 90.00°, β = 90.00°, γ = 90.00°
Last column: nearest neighbours and their distance in Å.
Space group I4/mmm (No. 139)
Asymmetric unit:
Fe: 0.0000 0.0000 0.0000  8 Au 2.85
Ir: 0.0000 0.5000 0.2500  4 Ir 2.52, 4 Au 2.82
Au: 0.0000 0.0000 0.4051  1 Au 2.67, 4 Ir 2.82, 4 Fe 2.85

Computed properties:
Its energy above the most stable polymorph in this dataset is 233.2 meV/atom. The value obtained for the theoretical density is 15.47 g/cm3. The value obtained for the uncorrected energy is -0.4304 Ry/atom. The calculation puts the energy of formation from the pure elements at 692.1 meV/atom.

[5]
Below is a relaxed structure of Fe2IrAu, with properties calculated at the GGA-PBE level.

a = 2.7495 Å, b = 3.7635 Å, c = 5.5404 Å
α = 90.00°, β = 90.00°, γ = 90.00°
Last column: nearest neighbours and their distance in Å.
Space group Pmmm (No. 47)
Asymmetric unit:
Fe: 0.0000 0.0000 0.2209  1 Fe 2.45, 4 Ir 2.63
Ir: 0.5000 0.5000 0.0000  8 Fe 2.63, 2 Ir 2.75, 2 Au 2.77
Au: 0.5000 0.5000 0.5000  2 Au 2.75, 2 Ir 2.77, 8 Fe 2.80

Computed properties:
Its energy above the most stable polymorph in this dataset is 3.3 meV/atom. The value obtained for the theoretical density is 14.51 g/cm3. The value obtained for the uncorrected energy is -0.5283 Ry/atom. The calculation puts the energy of formation from the pure elements at 77.4 meV/atom.

[6]
Below is a relaxed structure of Fe2IrAu, with properties calculated at the GGA-PBE level.

a = 2.7302 Å, b = 2.7302 Å, c = 7.6370 Å
α = 90.00°, β = 90.00°, γ = 90.00°
Last column: nearest neighbours and their distance in Å.
Space group P4mm (No. 99)
Asymmetric unit:
Fe: 0.0000 0.0000 0.0000  8 Fe 2.58-2.73, 4 Au 2.79
Fe: 0.5000 0.5000 0.2249  4 Ir 2.55, 8 Fe 2.58-2.73
Ir: 0.0000 0.0000 0.4434  4 Fe 2.55, 4 Ir 2.73
Au: 0.5000 0.5000 0.7368  4 Au 2.73, 4 Fe 2.79, 4 Ir 2.96

Computed properties:
Its energy above the most stable polymorph in this dataset is 85.7 meV/atom. The value obtained for the theoretical density is 14.61 g/cm3. The value obtained for the uncorrected energy is -0.5223 Ry/atom. The calculation puts the energy of formation from the pure elements at 159.8 meV/atom.

[7]
Below is a relaxed structure of Fe2IrAu, with properties calculated at the GGA-PBE level.

a = 2.7681 Å, b = 2.7681 Å, c = 26.1652 Å
α = 90.00°, β = 90.00°, γ = 120.00°
Last column: nearest neighbours and their distance in Å.
Space group R3m (No. 160, hexagonal axes)
Asymmetric unit:
Fe: 0.0000 0.0000 0.0000  9 Fe 2.50-2.77, 3 Ir 2.59
Fe: 0.0000 0.0000 0.2600  9 Fe 2.50-2.77, 3 Au 2.77
Ir: 0.0000 0.0000 0.7443  3 Fe 2.59, 6 Ir 2.77
Au: 0.0000 0.0000 0.5068  6 Au 2.77, 3 Fe 2.77, 3 Ir 2.97

Computed properties:
Its energy above the most stable polymorph in this dataset is 106.8 meV/atom. The value obtained for the theoretical density is 14.37 g/cm3. The value obtained for the uncorrected energy is -0.5207 Ry/atom. The calculation puts the energy of formation from the pure elements at 180.9 meV/atom.

[8]
Below is a relaxed structure of FeIrAu, with properties calculated at the GGA-PBE level.

a = 2.7818 Å, b = 2.7818 Å, c = 6.7430 Å
α = 90.00°, β = 90.00°, γ = 120.00°
Last column: nearest neighbours and their distance in Å.
Space group P3m1 (No. 156)
Asymmetric unit:
Fe: 0.0000 0.0000 0.0000  3 Ir 2.57, 3 Au 2.77, 6 Fe 2.78
Ir: 0.6667 0.3333 0.2978  3 Fe 2.57, 6 Ir 2.78
Au: 0.3333 0.6667 0.6661  3 Fe 2.77, 6 Au 2.78, 3 Ir 2.96

Computed properties:
Its energy above the most stable polymorph in this dataset is 0.0 meV/atom. The value obtained for the theoretical density is 16.35 g/cm3. The value obtained for the uncorrected energy is -0.4939 Ry/atom. The calculation puts the energy of formation from the pure elements at 147.6 meV/atom.

- The highest uncorrected energy belongs to which entry?
  number 2

- What is the uncorrected energy in the third record?
  -0.4867 Ry/atom

- Which of these has the highest energy of formation from the pure elements?
  number 2

- What is the formula in the sixth record?
  Fe2IrAu